Compound: PmMgBr6
Source: Alexandria
Functional: PBE-GGA
Structure: relaxed

```
PmMgBr6
1.0
-1.801 2.555 -7.156
3.937 -2.654 -6.200
-3.494 -4.783 -5.090
Br Mg Pm
6 1 1
Direct
0.759 0.241 0.241
0.241 0.759 0.759
0.759 0.241 0.759
0.241 0.241 0.759
0.241 0.759 0.241
0.759 0.759 0.241
0.000 0.000 0.000
0.500 0.500 0.500
```

Properties
Total magnetic moment   0.00 μB/f.u.
Space group   Fm-3m
Formation energy without anion corrections   -1.30 eV/atom
DOS at the Fermi energy   1.17 states/eV/atom